# 1
# BaLi17La | Alexandria via LeMat-Bulk | PBE-GGA | optimized geometry
# Energy relative to the elements (eV/atom): 0.053
data_BaLi17La
_space_group_name_H-M_alt 'P 1'
_space_group_IT_number 1
_cell_length_a 7.742
_cell_length_b 7.742
_cell_length_c 7.742
_cell_angle_alpha 83.16
_cell_angle_beta 83.16
_cell_angle_gamma 83.16
loop_
_space_group_symop_operation_xyz
'x,y,z'
loop_
_atom_site_label
_atom_site_fract_x
_atom_site_fract_y
_atom_site_fract_z
Ba1 0.000 0.000 0.000
Li1 0.004 0.004 0.502
Li2 0.004 0.502 0.004
Li3 0.062 0.361 0.643
Li4 0.062 0.643 0.361
Li5 0.220 0.694 0.694
Li6 0.262 0.262 0.262
Li7 0.358 0.358 0.854
Li8 0.358 0.854 0.358
Li9 0.361 0.062 0.643
Li10 0.361 0.643 0.062
Li11 0.453 0.453 0.453
Li12 0.502 0.004 0.004
Li13 0.643 0.062 0.361
Li14 0.643 0.361 0.062
Li15 0.694 0.220 0.694
Li16 0.694 0.694 0.220
Li17 0.854 0.358 0.358
La1 0.699 0.699 0.699

# 2
# Ba2Li2La | Alexandria via LeMat-Bulk | PBE-GGA | optimized geometry
# Energy relative to the elements (eV/atom): 0.163
# Relative energy among the computed polymorphs (eV/atom): 0.000
data_Ba2Li2La
_space_group_name_H-M_alt 'P 1'
_space_group_IT_number 1
_cell_length_a 12.644
_cell_length_b 12.644
_cell_length_c 12.644
_cell_angle_alpha 161.66
_cell_angle_beta 161.66
_cell_angle_gamma 26.04
loop_
_space_group_symop_operation_xyz
'x,y,z'
loop_
_atom_site_label
_atom_site_fract_x
_atom_site_fract_y
_atom_site_fract_z
Ba1 0.121 0.121 0.000
Ba2 0.879 0.879 0.000
Li1 0.250 0.750 0.500
Li2 0.750 0.250 0.500
La1 0.500 0.500 0.000

# 3
# BaLi2La2 | Alexandria via LeMat-Bulk | PBE-GGA | optimized geometry
# Energy relative to the elements (eV/atom): 0.181
# Relative energy among the computed polymorphs (eV/atom): 0.000
data_BaLi2La2
_space_group_name_H-M_alt 'P 1'
_space_group_IT_number 1
_cell_length_a 9.517
_cell_length_b 9.517
_cell_length_c 3.707
_cell_angle_alpha 90.00
_cell_angle_beta 90.00
_cell_angle_gamma 90.00
loop_
_space_group_symop_operation_xyz
'x,y,z'
loop_
_atom_site_label
_atom_site_fract_x
_atom_site_fract_y
_atom_site_fract_z
Ba1 0.000 0.000 0.000
Ba2 0.500 0.500 0.000
Li1 0.174 0.326 0.500
Li2 0.326 0.826 0.500
Li3 0.674 0.174 0.500
Li4 0.826 0.674 0.500
La1 0.115 0.615 0.000
La2 0.385 0.115 0.000
La3 0.615 0.885 0.000
La4 0.885 0.385 0.000

# 4
# BaLiLa | Alexandria via LeMat-Bulk | PBE-GGA | optimized geometry
# Energy relative to the elements (eV/atom): 0.240
# Relative energy among the computed polymorphs (eV/atom): 0.167
data_BaLiLa
_space_group_name_H-M_alt 'P 1'
_space_group_IT_number 1
_cell_length_a 5.876
_cell_length_b 5.876
_cell_length_c 3.800
_cell_angle_alpha 90.00
_cell_angle_beta 90.00
_cell_angle_gamma 120.00
loop_
_space_group_symop_operation_xyz
'x,y,z'
loop_
_atom_site_label
_atom_site_fract_x
_atom_site_fract_y
_atom_site_fract_z
Ba1 0.000 0.000 0.000
Li1 0.333 0.667 0.725
La1 0.667 0.333 0.398

# 5
# BaLiLa | Alexandria via LeMat-Bulk | PBE-GGA | optimized geometry
# Energy relative to the elements (eV/atom): 0.164
# Relative energy among the computed polymorphs (eV/atom): 0.091
data_BaLiLa
_space_group_name_H-M_alt 'P 1'
_space_group_IT_number 1
_cell_length_a 7.685
_cell_length_b 7.685
_cell_length_c 7.685
_cell_angle_alpha 149.62
_cell_angle_beta 149.62
_cell_angle_gamma 43.50
loop_
_space_group_symop_operation_xyz
'x,y,z'
loop_
_atom_site_label
_atom_site_fract_x
_atom_site_fract_y
_atom_site_fract_z
Ba1 0.000 0.000 0.000
Li1 0.659 0.659 0.000
La1 0.287 0.287 0.000

# 6
# BaLiLaMg | Alexandria via LeMat-Bulk | PBE-GGA | optimized geometry
# Energy relative to the elements (eV/atom): 0.086
data_BaLiLaMg
_space_group_name_H-M_alt 'P 1'
_space_group_IT_number 1
_cell_length_a 5.880
_cell_length_b 5.880
_cell_length_c 5.880
_cell_angle_alpha 60.00
_cell_angle_beta 60.00
_cell_angle_gamma 60.00
loop_
_space_group_symop_operation_xyz
'x,y,z'
loop_
_atom_site_label
_atom_site_fract_x
_atom_site_fract_y
_atom_site_fract_z
Ba1 0.000 0.000 0.000
Li1 0.750 0.750 0.750
La1 0.500 0.500 0.500
Mg1 0.250 0.250 0.250

# 7
# BaLiLa2N | Alexandria via LeMat-Bulk | PBE-GGA | optimized geometry
# E_form (uncorrected) (eV/atom): -0.373
data_BaLiLa2N
_space_group_name_H-M_alt 'P 1'
_space_group_IT_number 1
_cell_length_a 5.050
_cell_length_b 5.050
_cell_length_c 6.090
_cell_angle_alpha 90.00
_cell_angle_beta 90.00
_cell_angle_gamma 90.00
loop_
_space_group_symop_operation_xyz
'x,y,z'
loop_
_atom_site_label
_atom_site_fract_x
_atom_site_fract_y
_atom_site_fract_z
Ba1 0.000 0.000 0.000
Li1 0.500 0.500 0.000
La1 0.000 0.500 0.500
La2 0.500 0.000 0.500
N1 0.000 0.000 0.500

# 8
# Ba2LiLaNi | Alexandria via LeMat-Bulk | PBE-GGA | optimized geometry
# Energy relative to the elements (eV/atom): 0.067
data_Ba2LiLaNi
_space_group_name_H-M_alt 'P 1'
_space_group_IT_number 1
_cell_length_a 6.310
_cell_length_b 6.310
_cell_length_c 5.317
_cell_angle_alpha 90.00
_cell_angle_beta 90.00
_cell_angle_gamma 90.00
loop_
_space_group_symop_operation_xyz
'x,y,z'
loop_
_atom_site_label
_atom_site_fract_x
_atom_site_fract_y
_atom_site_fract_z
Ba1 0.000 0.500 0.000
Ba2 0.500 0.000 0.000
Li1 0.000 0.000 0.500
La1 0.500 0.500 0.500
Ni1 0.500 0.500 0.000

# 9
# BaLiLa2Ni | Alexandria via LeMat-Bulk | PBE-GGA | optimized geometry
# Energy relative to the elements (eV/atom): 0.056
# Relative energy among the computed polymorphs (eV/atom): 0.008
data_BaLiLa2Ni
_space_group_name_H-M_alt 'P 1'
_space_group_IT_number 1
_cell_length_a 5.440
_cell_length_b 5.440
_cell_length_c 6.428
_cell_angle_alpha 90.00
_cell_angle_beta 90.00
_cell_angle_gamma 90.00
loop_
_space_group_symop_operation_xyz
'x,y,z'
loop_
_atom_site_label
_atom_site_fract_x
_atom_site_fract_y
_atom_site_fract_z
Ba1 0.000 0.000 0.000
Li1 0.500 0.500 0.000
La1 0.000 0.500 0.500
La2 0.500 0.000 0.500
Ni1 0.000 0.000 0.500

# 10
# BaLiLa2Ni | Alexandria via LeMat-Bulk | PBE-GGA | optimized geometry
# Energy relative to the elements (eV/atom): 0.048
# Relative energy among the computed polymorphs (eV/atom): 0.000
data_BaLiLa2Ni
_space_group_name_H-M_alt 'P 1'
_space_group_IT_number 1
_cell_length_a 5.476
_cell_length_b 5.476
_cell_length_c 5.663
_cell_angle_alpha 90.00
_cell_angle_beta 90.00
_cell_angle_gamma 90.00
loop_
_space_group_symop_operation_xyz
'x,y,z'
loop_
_atom_site_label
_atom_site_fract_x
_atom_site_fract_y
_atom_site_fract_z
Ba1 0.000 0.000 0.000
Li1 0.500 0.500 0.000
La1 0.000 0.500 0.500
La2 0.500 0.000 0.500
Ni1 0.500 0.500 0.500

# 11
# Ba4LiLa3O8 | Alexandria via LeMat-Bulk | PBE-GGA | optimized geometry
# E_form (uncorrected) (eV/atom): -2.594
data_Ba4LiLa3O8
_space_group_name_H-M_alt 'P 1'
_space_group_IT_number 1
_cell_length_a 7.614
_cell_length_b 7.614
_cell_length_c 7.614
_cell_angle_alpha 58.60
_cell_angle_beta 58.60
_cell_angle_gamma 58.60
loop_
_space_group_symop_operation_xyz
'x,y,z'
loop_
_atom_site_label
_atom_site_fract_x
_atom_site_fract_y
_atom_site_fract_z
Ba1 0.000 0.000 0.000
Ba2 0.000 0.500 0.500
Ba3 0.500 0.000 0.500
Ba4 0.500 0.500 0.000
Li1 0.500 0.500 0.500
La1 0.000 0.000 0.500
La2 0.000 0.500 0.000
La3 0.500 0.000 0.000
O1 0.224 0.744 0.744
O2 0.236 0.236 0.236
O3 0.256 0.256 0.776
O4 0.256 0.776 0.256
O5 0.744 0.224 0.744
O6 0.744 0.744 0.224
O7 0.764 0.764 0.764
O8 0.776 0.256 0.256

# 12
# BaLiLa2O4 | Alexandria via LeMat-Bulk | PBE-GGA | optimized geometry
# E_form (uncorrected) (eV/atom): -2.733
data_BaLiLa2O4
_space_group_name_H-M_alt 'P 1'
_space_group_IT_number 1
_cell_length_a 6.392
_cell_length_b 6.392
_cell_length_c 11.969
_cell_angle_alpha 90.00
_cell_angle_beta 90.00
_cell_angle_gamma 146.53
loop_
_space_group_symop_operation_xyz
'x,y,z'
loop_
_atom_site_label
_atom_site_fract_x
_atom_site_fract_y
_atom_site_fract_z
Ba1 0.099 0.901 0.750
Ba2 0.901 0.099 0.250
Li1 0.175 0.825 0.250
Li2 0.825 0.175 0.750
La1 0.370 0.630 0.554
La2 0.370 0.630 0.946
La3 0.630 0.370 0.054
La4 0.630 0.370 0.446
O1 0.000 0.000 0.000
O2 0.000 0.000 0.500
O3 0.260 0.740 0.115
O4 0.260 0.740 0.385
O5 0.417 0.583 0.750
O6 0.583 0.417 0.250
O7 0.740 0.260 0.615
O8 0.740 0.260 0.885

Number 1: total energy -2.02 eV/atom, spin magnetization 0.09 μB/atom. Number 2: total energy -2.36 eV/atom, spin magnetization 0.00 μB/atom. Number 3: total energy -2.94 eV/atom, spin magnetization 0.00 μB/atom. Number 4: total energy -2.68 eV/atom, spin magnetization 0.00 μB/atom. Number 5: total energy -2.76 eV/atom, spin magnetization 0.16 μB/atom. Number 6: total energy -2.50 eV/atom, spin magnetization 0.00 μB/atom. Number 7: total energy -4.78 eV/atom, spin magnetization 0.00 μB/atom. Number 8: total energy -3.23 eV/atom, spin magnetization 0.00 μB/atom. Number 9: total energy -3.84 eV/atom, spin magnetization 0.00 μB/atom. Number 10: total energy -3.85 eV/atom, spin magnetization 0.00 μB/atom. Number 11: total energy -6.60 eV/atom, spin magnetization 0.00 μB/atom. Number 12: total energy -6.92 eV/atom, spin magnetization 0.00 μB/atom.